# Ac2Sb4IrPd3 (GGA-PBE, relaxed)
data_Ac2Sb4IrPd3
_chemical_formula_sum 'Ac2 Sb4 Ir1 Pd3'
_cell_length_a 4.7613
_cell_length_b 4.7613
_cell_length_c 10.5442
_cell_angle_alpha 90.00
_cell_angle_beta 90.00
_cell_angle_gamma 90.00
_symmetry_space_group_name_H-M 'P 1'
_symmetry_Int_Tables_number 1
loop_
_symmetry_equiv_pos_as_xyz
'x,y,z'
loop_
_atom_site_label
_atom_site_type_symbol
_atom_site_fract_x
_atom_site_fract_y
_atom_site_fract_z
Ac1 Ac 0.0000 0.5000 0.7390
Ac2 Ac 0.5000 0.0000 0.2610
Sb1 Sb 0.0000 0.0000 0.0000
Sb2 Sb 0.0000 0.5000 0.3771
Sb3 Sb 0.5000 0.0000 0.6229
Sb4 Sb 0.5000 0.5000 0.0000
Pd1 Pd 0.0000 0.5000 0.1253
Pd2 Pd 0.0000 0.0000 0.5000
Pd3 Pd 0.5000 0.0000 0.8747
Ir1 Ir 0.5000 0.5000 0.5000
# Crystal system: tetragonal
# Electronic total energy: -57.18 eV per cell
# Formation energy without anion corrections: -803 meV per atom

# AcScIrPd (GGA-PBE, relaxed)
data_AcScIrPd
_chemical_formula_sum 'Ac1 Sc1 Ir1 Pd1'
_cell_length_a 4.9965
_cell_length_b 4.9965
_cell_length_c 4.9965
_cell_angle_alpha 60.00
_cell_angle_beta 60.00
_cell_angle_gamma 60.00
_symmetry_space_group_name_H-M 'P 1'
_symmetry_Int_Tables_number 1
loop_
_symmetry_equiv_pos_as_xyz
'x,y,z'
loop_
_atom_site_label
_atom_site_type_symbol
_atom_site_fract_x
_atom_site_fract_y
_atom_site_fract_z
Sc1 Sc 0.0000 0.0000 0.0000
Ac1 Ac 0.5000 0.5000 0.5000
Pd1 Pd 0.7500 0.7500 0.7500
Ir1 Ir 0.2500 0.2500 0.2500
# Crystal system: cubic
# Formation enthalpy at 0 K: -602 meV/atom
# Electronic total energy: -26.90 eV per cell

# Ac4IrPdSe2 (GGA-PBE, relaxed)
data_Ac4IrPdSe2
_chemical_formula_sum 'Ac4 Ir1 Pd1 Se2'
_cell_length_a 4.3531
_cell_length_b 7.5214
_cell_length_c 8.1377
_cell_angle_alpha 107.91
_cell_angle_beta 90.00
_cell_angle_gamma 90.00
_symmetry_space_group_name_H-M 'P 1'
_symmetry_Int_Tables_number 1
loop_
_symmetry_equiv_pos_as_xyz
'x,y,z'
loop_
_atom_site_label
_atom_site_type_symbol
_atom_site_fract_x
_atom_site_fract_y
_atom_site_fract_z
Ac1 Ac 0.5000 0.2508 0.2283
Ac2 Ac 0.0000 0.2654 0.7748
Ac3 Ac 0.5000 0.7492 0.7717
Ac4 Ac 0.0000 0.7346 0.2252
Pd1 Pd 0.0000 0.0000 0.0000
Se1 Se 0.5000 0.0000 0.5000
Se2 Se 0.0000 0.5000 0.5000
Ir1 Ir 0.5000 0.5000 0.0000
# Crystal system: monoclinic
# Electronic total energy: -47.81 eV per cell
# Formation energy without anion corrections: -1294 meV per atom

# Ac6Ir2PdSe3 (GGA-PBE, relaxed)
data_Ac6Ir2PdSe3
_chemical_formula_sum 'Ac6 Ir2 Pd1 Se3'
_cell_length_a 4.3481
_cell_length_b 9.1983
_cell_length_c 10.1597
_cell_angle_alpha 107.32
_cell_angle_beta 102.36
_cell_angle_gamma 90.00
_symmetry_space_group_name_H-M 'P 1'
_symmetry_Int_Tables_number 1
loop_
_symmetry_equiv_pos_as_xyz
'x,y,z'
loop_
_atom_site_label
_atom_site_type_symbol
_atom_site_fract_x
_atom_site_fract_y
_atom_site_fract_z
Ir1 Ir 0.1654 0.3302 0.3308
Ir2 Ir 0.8346 0.6698 0.6692
Ac1 Ac 0.6651 0.1021 0.3303
Ac2 Ac 0.9920 0.7545 0.9840
Ac3 Ac 0.6736 0.5666 0.3472
Ac4 Ac 0.0080 0.2455 0.0160
Ac5 Ac 0.3349 0.8979 0.6697
Ac6 Ac 0.3264 0.4334 0.6528
Pd1 Pd 0.5000 0.0000 0.0000
Se1 Se 0.8349 0.1677 0.6698
Se2 Se 0.5000 0.5000 0.0000
Se3 Se 0.1651 0.8323 0.3302
# Crystal system: monoclinic
# Electronic total energy: -73.48 eV per cell
# Formation energy without anion corrections: -1288 meV per atom

# Ac2Si3IrPd12 (GGA-PBE, relaxed)
data_Ac2Si3IrPd12
_chemical_formula_sum 'Ac2 Si3 Ir1 Pd12'
_cell_length_a 7.8170
_cell_length_b 7.8170
_cell_length_c 7.8170
_cell_angle_alpha 64.56
_cell_angle_beta 64.56
_cell_angle_gamma 64.56
_symmetry_space_group_name_H-M 'P 1'
_symmetry_Int_Tables_number 1
loop_
_symmetry_equiv_pos_as_xyz
'x,y,z'
loop_
_atom_site_label
_atom_site_type_symbol
_atom_site_fract_x
_atom_site_fract_y
_atom_site_fract_z
Ac1 Ac 0.6141 0.6141 0.6141
Ac2 Ac 0.3859 0.3859 0.3859
Si1 Si 0.0000 0.0000 0.5000
Si2 Si 0.0000 0.5000 0.0000
Si3 Si 0.5000 0.0000 0.0000
Pd1 Pd 0.6235 0.1253 0.1253
Pd2 Pd 0.1253 0.6235 0.1253
Pd3 Pd 0.1253 0.1253 0.6235
Pd4 Pd 0.3467 0.3467 0.9020
Pd5 Pd 0.6533 0.6533 0.0980
Pd6 Pd 0.3765 0.8747 0.8747
Pd7 Pd 0.8747 0.3765 0.8747
Pd8 Pd 0.6533 0.0980 0.6533
Pd9 Pd 0.9020 0.3467 0.3467
Pd10 Pd 0.8747 0.8747 0.3765
Pd11 Pd 0.3467 0.9020 0.3467
Pd12 Pd 0.0980 0.6533 0.6533
Ir1 Ir 0.0000 0.0000 0.0000
# Crystal system: trigonal
# Electronic total energy: -100.28 eV per cell
# Formation energy without anion corrections: -256 meV per atom

# Ac2Si4IrPd3 (GGA-PBE, relaxed)
data_Ac2Si4IrPd3
_chemical_formula_sum 'Ac2 Si4 Ir1 Pd3'
_cell_length_a 4.3509
_cell_length_b 4.3509
_cell_length_c 10.1963
_cell_angle_alpha 90.00
_cell_angle_beta 90.00
_cell_angle_gamma 90.00
_symmetry_space_group_name_H-M 'P 1'
_symmetry_Int_Tables_number 1
loop_
_symmetry_equiv_pos_as_xyz
'x,y,z'
loop_
_atom_site_label
_atom_site_type_symbol
_atom_site_fract_x
_atom_site_fract_y
_atom_site_fract_z
Si1 Si 0.0000 0.5000 0.3808
Si2 Si 0.0000 0.0000 0.0000
Si3 Si 0.5000 0.5000 0.0000
Si4 Si 0.5000 0.0000 0.6192
Ir1 Ir 0.5000 0.5000 0.5000
Pd1 Pd 0.5000 0.0000 0.8757
Pd2 Pd 0.0000 0.0000 0.5000
Pd3 Pd 0.0000 0.5000 0.1243
Ac1 Ac 0.5000 0.0000 0.2447
Ac2 Ac 0.0000 0.5000 0.7553
# Crystal system: tetragonal
# Electronic total energy: -62.86 eV per cell
# Formation energy without anion corrections: -852 meV per atom

# Ac2Si4Ir3Pd (GGA-PBE, relaxed)
data_Ac2Si4Ir3Pd
_chemical_formula_sum 'Ac2 Si4 Ir3 Pd1'
_cell_length_a 4.3337
_cell_length_b 4.3337
_cell_length_c 10.0461
_cell_angle_alpha 90.00
_cell_angle_beta 90.00
_cell_angle_gamma 90.00
_symmetry_space_group_name_H-M 'P 1'
_symmetry_Int_Tables_number 1
loop_
_symmetry_equiv_pos_as_xyz
'x,y,z'
loop_
_atom_site_label
_atom_site_type_symbol
_atom_site_fract_x
_atom_site_fract_y
_atom_site_fract_z
Ir1 Ir 0.0000 0.0000 0.5000
Ir2 Ir 0.5000 0.0000 0.8771
Ir3 Ir 0.0000 0.5000 0.1229
Si1 Si 0.0000 0.5000 0.3717
Si2 Si 0.5000 0.0000 0.6283
Si3 Si 0.5000 0.5000 0.0000
Si4 Si 0.0000 0.0000 0.0000
Pd1 Pd 0.5000 0.5000 0.5000
Ac1 Ac 0.0000 0.5000 0.7569
Ac2 Ac 0.5000 0.0000 0.2431
# Crystal system: tetragonal
# Electronic total energy: -70.66 eV per cell
# Formation energy without anion corrections: -898 meV per atom

# SrAcIrPd (GGA-PBE, relaxed)
data_SrAcIrPd
_chemical_formula_sum 'Sr1 Ac1 Ir1 Pd1'
_cell_length_a 5.2334
_cell_length_b 5.2334
_cell_length_c 5.2334
_cell_angle_alpha 60.00
_cell_angle_beta 60.00
_cell_angle_gamma 60.00
_symmetry_space_group_name_H-M 'P 1'
_symmetry_Int_Tables_number 1
loop_
_symmetry_equiv_pos_as_xyz
'x,y,z'
loop_
_atom_site_label
_atom_site_type_symbol
_atom_site_fract_x
_atom_site_fract_y
_atom_site_fract_z
Sr1 Sr 0.0000 0.0000 0.0000
Ac1 Ac 0.5000 0.5000 0.5000
Pd1 Pd 0.7500 0.7500 0.7500
Ir1 Ir 0.2500 0.2500 0.2500
# Crystal system: cubic
# Formation enthalpy at 0 K: -476 meV/atom
# Electronic total energy: -21.75 eV per cell

Number 1: M_tot 0.00 μB/cell. Number 2: M_tot 0.00 μB/cell. Number 3: M_tot 0.00 μB/cell. Number 4: M_tot 0.00 μB/cell. Number 5: M_tot 0.00 μB/cell. Number 6: M_tot 0.00 μB/cell. Number 7: M_tot 0.00 μB/cell. Number 8: M_tot 0.00 μB/cell.